(1)
# YHgAs2Br

A relaxed YHgAs2Br crystal (GGA-PBEsol, Alexandria).

Geometry as POSCAR:
```
YHgAs2Br
1.0
-2.100 -4.875 0.953
-0.560 -0.811 -5.379
5.006 -2.194 -0.191
Br Y Hg As
1 1 1 2
Cartesian
-1.050 -2.437 0.477
0.000 0.000 0.000
1.173 -3.939 -2.308
2.503 -1.097 -0.095
-0.280 -0.405 -2.690
```

- space-group type = P4/mmm, No. 123
- final energy (eV per atom) = -3.874



(2)
# Rb2LiBiI6

A relaxed Rb2LiBiI6 crystal (GGA-PBEsol, Alexandria).

Geometry as POSCAR:
```
Rb2LiBiI6
1.0
-7.444 -2.255 3.104
-3.482 -7.254 -2.322
-0.517 -6.333 5.455
Rb Bi Li I
2 1 1 6
Cartesian
-8.582 -11.881 4.678
-2.861 -3.960 1.559
0.000 0.000 0.000
-5.721 -7.921 3.119
-6.815 -8.246 5.775
-6.562 -5.155 3.112
-8.262 -8.696 1.978
-4.628 -7.595 0.463
-3.181 -7.146 4.259
-4.881 -10.686 3.126
```

- space-group type = Fm-3m, No. 225
- final energy (eV per atom) = -2.870



(3)
# Fe2HgMo

A relaxed Fe2HgMo crystal (GGA-PBEsol, Alexandria).

Geometry as POSCAR:
```
Fe2HgMo
1.0
3.346 0.000 0.000
0.000 4.000 0.000
0.000 0.000 4.000
Fe Mo Hg
2 1 1
Cartesian
0.000 0.000 2.000
0.000 2.000 0.000
1.673 0.000 0.000
1.673 2.000 2.000
```

- space-group type = P4/mmm, No. 123
- formation enthalpy at 0 K (eV per atom) = 0.5006



(4)
# Mg5Zn

A relaxed Mg5Zn crystal (GGA-PBEsol, Alexandria).

Geometry as POSCAR:
```
Mg5Zn
1.0
-3.229 2.497 -2.813
-2.039 -4.634 -1.773
-2.031 2.318 4.390
Mg Zn
5 1
Cartesian
-3.648 1.250 0.929
-1.308 -0.744 0.841
-1.378 1.573 2.979
-3.651 -1.068 -1.125
-1.384 -3.144 -1.203
-1.615 1.249 -1.407
```

- space-group type = P-62m, No. 189
- formation enthalpy at 0 K (eV per atom) = 0.0014



(5)
# Li3Cr3FeO8

A relaxed Li3Cr3FeO8 crystal (GGA-PBEsol, Alexandria).

Geometry as POSCAR:
```
Li3Cr3FeO8
1.0
-3.490 -3.987 2.119
4.092 -4.005 -0.797
2.963 1.554 7.402
O Cr Li Fe
16 6 6 2
Cartesian
2.346 -4.058 -0.036
-0.975 -1.558 2.825
0.808 -4.777 7.186
3.528 -3.166 3.600
1.682 -1.359 3.960
1.883 -5.079 4.764
3.465 -4.578 8.322
-1.159 -2.727 7.748
0.037 -3.272 5.123
2.415 -2.926 6.135
0.632 0.293 1.773
2.757 -1.661 1.537
1.150 -3.513 2.589
0.448 -0.875 6.696
0.100 -1.860 0.402
1.219 -2.380 8.760
3.527 -1.225 3.302
0.628 -2.826 6.941
0.891 -1.610 2.181
2.674 -4.828 6.543
2.937 -3.612 1.782
-1.745 -1.994 1.059
2.046 -2.002 -0.399
1.192 -5.605 2.842
2.373 -0.833 5.882
-0.853 -3.604 3.240
-0.263 -1.217 4.761
4.419 -2.834 5.484
0.000 0.000 0.000
1.783 -3.219 4.362
```

- space-group type = R-3m, No. 166
- final energy (eV per atom) = -7.727



(6)
# LiIn3

A relaxed LiIn3 crystal (GGA-PBEsol, Alexandria).

Geometry as POSCAR:
```
LiIn3
1.0
5.169 0.000 0.000
0.000 6.362 0.000
0.000 -3.181 5.509
In Li
6 2
Cartesian
1.292 4.751 0.930
3.877 1.570 4.579
3.877 0.000 1.860
3.877 -1.570 4.579
1.292 1.610 0.930
1.292 3.181 3.650
1.292 0.000 3.673
3.877 3.181 1.836
```

- space-group type = P6_3/mmc, No. 194
- formation enthalpy at 0 K (eV per atom) = -0.1564



> What is the formula in the second record?

Rb2LiBiI6